{"formula": "FeSe2F", "functional": "GGA+U", "state": "relaxed", "m_tot_mub_per_fu": 3.5, "e_above_lowest_polymorph_mev_per_atom": 142.7, "dos_at_fermi_per_ev_atom": 0.424, "total_energy_ev_per_atom": -3.79, "cell": [[6.2997, 0.0000, 0.0000], [0.0000, 6.2997, 0.0000], [0.0000, 0.0000, 6.2997]], "species": ["Fe", "Fe", "Fe", "Fe", "Se", "Se", "Se", "Se", "Se", "Se", "Se", "Se", "F", "F", "F", "F"], "frac_coords": [[0.0000, 0.0000, 0.0000], [0.0000, 0.5000, 0.5000], [0.5000, 0.0000, 0.5000], [0.5000, 0.5000, 0.0000], [0.2500, 0.2500, 0.2500], [0.2500, 0.2500, 0.7500], [0.2500, 0.7500, 0.2500], [0.2500, 0.7500, 0.7500], [0.7500, 0.2500, 0.2500], [0.7500, 0.2500, 0.7500], [0.7500, 0.7500, 0.2500], [0.7500, 0.7500, 0.7500], [0.0000, 0.0000, 0.5000], [0.0000, 0.5000, 0.0000], [0.5000, 0.0000, 0.0000], [0.5000, 0.5000, 0.5000]]}